# CeHfTe2N

CeHfTe2N after structural relaxation (GGA-PBE, Alexandria).

Calculated values
Symmetry: No. 129
DOS(E_F), states/eV/cell: 2.370
ΔE_f (raw), kJ/mol of formula units: -521
E_tot, eV per atom: -7.179
Spin magnetization, μB per cell: 0.000

```
CeHfTe2N
1.0
4.023 0.000 0.000
0.000 4.023 0.000
0.000 0.000 14.367
Ce Hf Te N
2 2 4 2
direct
0.250 0.250 0.077
0.750 0.750 0.923
0.250 0.250 0.581
0.750 0.750 0.419
0.250 0.250 0.377
0.250 0.250 0.786
0.750 0.750 0.214
0.750 0.750 0.623
0.250 0.750 0.000
0.750 0.250 0.000
```